No. 1
A relaxed structure of Dy2Th3Ni4. Source: Alexandria via LeMat-Bulk, functional PBE.

**Formation enthalpy at 0 K**: -33.9 kJ per mole of atoms
**Symmetry**: No. 14

Lattice parameters (Å, degrees): 7.070 8.066 7.333 90.00 90.00 107.86
Element x y z (fractional)
Dy (0.578, 0.186, 0.319)
Dy (0.078, 0.186, 0.181)
Dy (0.422, 0.814, 0.681)
Dy (0.922, 0.814, 0.819)
Ni (0.361, 0.076, 0.961)
Ni (0.126, 0.501, 0.874)
Ni (0.374, 0.499, 0.374)
Ni (0.626, 0.501, 0.626)
Ni (0.639, 0.924, 0.039)
Ni (0.874, 0.499, 0.126)
Ni (0.139, 0.924, 0.461)
Ni (0.861, 0.076, 0.539)
Th (0.500, 0.500, 0.000)
Th (0.249, 0.225, 0.663)
Th (0.749, 0.225, 0.837)
Th (0.000, 0.500, 0.500)
Th (0.751, 0.775, 0.337)
Th (0.251, 0.775, 0.163)


No. 2
A relaxed structure of Dy3ThNi. Source: Alexandria via LeMat-Bulk, functional PBE.

**Formation enthalpy at 0 K**: 0.2 kJ per mole of atoms
**Symmetry**: No. 221

Lattice parameters (Å, degrees): 5.280 5.280 5.280 90.00 90.00 90.00
Element x y z (fractional)
Ni (0.000, 0.000, 0.000)
Th (0.500, 0.500, 0.500)
Dy (0.500, 0.000, 0.000)
Dy (0.000, 0.500, 0.000)
Dy (0.000, 0.000, 0.500)


No. 3
A relaxed structure of DyThNi. Source: Alexandria via LeMat-Bulk, functional PBE.

**Formation enthalpy at 0 K**: -13.3 kJ per mole of atoms
**Energy relative to the lowest polymorph listed for this composition**: 0.041 eV per atom
**Symmetry**: No. 29

Lattice parameters (Å, degrees): 4.923 5.992 10.237 90.00 90.00 90.00
Element x y z (fractional)
Dy (0.076, 0.581, 0.115)
Dy (0.576, 0.419, 0.885)
Dy (0.576, 0.919, 0.115)
Dy (0.076, 0.081, 0.885)
Ni (0.077, 0.136, 0.148)
Ni (0.077, 0.636, 0.852)
Ni (0.577, 0.364, 0.148)
Ni (0.577, 0.864, 0.852)
Th (0.076, 0.003, 0.382)
Th (0.576, 0.997, 0.618)
Th (0.576, 0.497, 0.382)
Th (0.076, 0.503, 0.618)


No. 4
A relaxed structure of Dy2ThNi6. Source: Alexandria via LeMat-Bulk, functional PBE.

**Formation enthalpy at 0 K**: -39.2 kJ per mole of atoms
**Energy relative to the lowest polymorph listed for this composition**: 0.000 eV per atom
**Symmetry**: No. 191

Lattice parameters (Å, degrees): 3.688 7.032 7.032 120.00 90.00 90.00
Element x y z (fractional)
Ni (0.500, 0.000, 0.666)
Ni (0.500, 0.334, 0.000)
Ni (0.500, 0.334, 0.334)
Ni (0.500, 0.666, 0.000)
Ni (0.500, 0.000, 0.334)
Ni (0.500, 0.666, 0.666)
Dy (0.000, 0.667, 0.333)
Dy (0.000, 0.333, 0.667)
Th (0.000, 0.000, 0.000)


No. 5
A relaxed structure of DyTh2Ni6. Source: Alexandria via LeMat-Bulk, functional PBE.

**Formation enthalpy at 0 K**: -40.0 kJ per mole of atoms
**Energy relative to the lowest polymorph listed for this composition**: 0.000 eV per atom
**Symmetry**: No. 191

Lattice parameters (Å, degrees): 3.735 7.075 7.075 120.00 90.00 90.00
Element x y z (fractional)
Ni (0.500, 0.333, 0.333)
Ni (0.500, 0.667, 0.667)
Ni (0.500, 0.000, 0.667)
Ni (0.500, 0.000, 0.333)
Ni (0.500, 0.667, 0.000)
Ni (0.500, 0.333, 0.000)
Th (0.000, 0.333, 0.667)
Th (0.000, 0.667, 0.333)
Dy (0.000, 0.000, 0.000)


No. 6
A relaxed structure of DyThNi. Source: Alexandria via LeMat-Bulk, functional PBE.

**Formation enthalpy at 0 K**: -4.4 kJ per mole of atoms
**Energy relative to the lowest polymorph listed for this composition**: 0.133 eV per atom
**Symmetry**: No. 216

Lattice parameters (Å, degrees): 4.805 4.805 4.805 60.00 60.00 60.00
Element x y z (fractional)
Th (0.500, 0.500, 0.500)
Dy (0.000, 0.000, 0.000)
Ni (0.250, 0.250, 0.250)


No. 7
A relaxed structure of Dy2Th2Ni15. Source: Alexandria via LeMat-Bulk, functional PBE.

**Formation enthalpy at 0 K**: -26.7 kJ per mole of atoms
**Symmetry**: No. 166

Lattice parameters (Å, degrees): 6.525 6.525 6.525 81.78 81.78 81.78
Element x y z (fractional)
Ni (0.348, 0.833, 0.348)
Ni (0.000, 0.000, 0.500)
Ni (0.652, 0.167, 0.652)
Ni (0.000, 0.500, 0.000)
Ni (0.652, 0.652, 0.167)
Ni (0.500, 0.000, 0.000)
Ni (0.348, 0.348, 0.833)
Ni (0.167, 0.652, 0.652)
Ni (0.833, 0.348, 0.348)
Ni (0.313, 0.000, 0.687)
Ni (0.000, 0.687, 0.313)
Ni (0.687, 0.000, 0.313)
Ni (0.687, 0.313, 0.000)
Ni (0.000, 0.313, 0.687)
Ni (0.313, 0.687, 0.000)
Th (0.358, 0.358, 0.358)
Th (0.642, 0.642, 0.642)
Dy (0.892, 0.892, 0.892)
Dy (0.108, 0.108, 0.108)


No. 8
A relaxed structure of DyThNi. Source: Alexandria via LeMat-Bulk, functional PBE.

**Formation enthalpy at 0 K**: 0.4 kJ per mole of atoms
**Energy relative to the lowest polymorph listed for this composition**: 0.183 eV per atom
**Symmetry**: No. 43

Lattice parameters (Å, degrees): 5.438 6.371 10.772 83.82 75.38 64.74
Element x y z (fractional)
Th (0.240, 0.866, 0.848)
Th (0.839, 0.366, 0.652)
Th (0.955, 0.134, 0.152)
Th (0.857, 0.634, 0.348)
Dy (0.645, 0.713, 0.069)
Dy (0.464, 0.213, 0.431)
Dy (0.108, 0.787, 0.569)
Dy (0.427, 0.287, 0.931)
Ni (0.152, 0.659, 0.101)
Ni (0.003, 0.159, 0.399)
Ni (0.561, 0.841, 0.601)
Ni (0.912, 0.341, 0.899)


No. 9
A relaxed structure of DyTiNi2. Source: Alexandria via LeMat-Bulk, functional PBE.

**Formation enthalpy at 0 K**: -34.3 kJ per mole of atoms
**Energy relative to the lowest polymorph listed for this composition**: 0.017 eV per atom
**Symmetry**: No. 123

Lattice parameters (Å, degrees): 3.110 3.110 6.721 90.00 90.00 90.00
Element x y z (fractional)
Dy (0.500, 0.500, 0.500)
Ni (0.000, 0.000, 0.803)
Ni (0.000, 0.000, 0.197)
Ti (0.500, 0.500, 0.000)


No. 10
A relaxed structure of Dy2TiNi. Source: Alexandria via LeMat-Bulk, functional PBE.

**Formation enthalpy at 0 K**: -4.6 kJ per mole of atoms
**Energy relative to the lowest polymorph listed for this composition**: 0.000 eV per atom
**Symmetry**: No. 123

Lattice parameters (Å, degrees): 3.397 3.397 7.454 90.00 90.00 90.00
Element x y z (fractional)
Ti (0.500, 0.500, 0.500)
Ni (0.500, 0.500, 0.000)
Dy (0.000, 0.000, 0.220)
Dy (0.000, 0.000, 0.780)


No. 11
A relaxed structure of DyTiNi. Source: Alexandria via LeMat-Bulk, functional PBE.

**Formation enthalpy at 0 K**: -8.4 kJ per mole of atoms
**Energy relative to the lowest polymorph listed for this composition**: 0.225 eV per atom
**Symmetry**: No. 123

Lattice parameters (Å, degrees): 4.592 3.247 10.753 90.00 90.00 135.01
Element x y z (fractional)
Ti (0.194, 0.389, 0.875)
Ti (0.194, 0.389, 0.125)
Ni (0.195, 0.389, 0.500)
Ni (0.694, 0.388, 0.000)
Dy (0.695, 0.389, 0.660)
Dy (0.695, 0.389, 0.340)


No. 12
A relaxed structure of DyTiNi2. Source: Alexandria via LeMat-Bulk, functional PBE.

**Formation enthalpy at 0 K**: -23.2 kJ per mole of atoms
**Energy relative to the lowest polymorph listed for this composition**: 0.132 eV per atom
**Symmetry**: No. 123

Lattice parameters (Å, degrees): 3.181 4.525 4.525 90.00 90.00 90.00
Element x y z (fractional)
Ti (0.500, 0.000, 0.000)
Ni (0.000, 0.000, 0.500)
Ni (0.000, 0.500, 0.000)
Dy (0.500, 0.500, 0.500)


No. 13
A relaxed structure of DyTiNi. Source: Alexandria via LeMat-Bulk, functional PBE.

**Formation enthalpy at 0 K**: -30.1 kJ per mole of atoms
**Energy relative to the lowest polymorph listed for this composition**: 0.000 eV per atom
**Symmetry**: No. 129

Lattice parameters (Å, degrees): 4.318 4.318 6.260 90.00 90.00 90.00
Element x y z (fractional)
Dy (0.000, 0.500, 0.872)
Dy (0.500, 0.000, 0.128)
Ni (0.500, 0.000, 0.690)
Ni (0.000, 0.500, 0.310)
Ti (0.500, 0.500, 0.500)
Ti (0.000, 0.000, 0.500)


No. 14
A relaxed structure of DyTiNi4. Source: Alexandria via LeMat-Bulk, functional PBE.

**Formation enthalpy at 0 K**: -33.0 kJ per mole of atoms
**Symmetry**: No. 216

Lattice parameters (Å, degrees): 4.916 4.916 4.916 60.00 60.00 60.00
Element x y z (fractional)
Ni (0.127, 0.624, 0.624)
Ni (0.624, 0.624, 0.127)
Ni (0.624, 0.127, 0.624)
Ni (0.624, 0.624, 0.624)
Dy (0.000, 0.000, 0.000)
Ti (0.250, 0.250, 0.250)


No. 15
A relaxed structure of Dy2TiNi. Source: Alexandria via LeMat-Bulk, functional PBE.

**Formation enthalpy at 0 K**: 33.7 kJ per mole of atoms
**Energy relative to the lowest polymorph listed for this composition**: 0.397 eV per atom
**Symmetry**: No. 166

Lattice parameters (Å, degrees): 3.371 3.371 9.948 80.25 80.25 60.00
Element x y z (fractional)
Dy (0.898, 0.898, 0.306)
Dy (0.102, 0.102, 0.694)
Ni (0.500, 0.500, 0.500)
Ti (0.000, 0.000, 0.000)


No. 16
A relaxed structure of DyTiNi2. Source: Alexandria via LeMat-Bulk, functional PBE.

**Formation enthalpy at 0 K**: -23.2 kJ per mole of atoms
**Energy relative to the lowest polymorph listed for this composition**: 0.133 eV per atom
**Symmetry**: No. 225

Lattice parameters (Å, degrees): 4.524 4.524 4.524 60.00 60.00 60.00
Element x y z (fractional)
Ni (0.750, 0.750, 0.750)
Ni (0.250, 0.250, 0.250)
Dy (0.500, 0.500, 0.500)
Ti (0.000, 0.000, 0.000)


No. 17
A relaxed structure of DyTiNi2. Source: Alexandria via LeMat-Bulk, functional PBE.

**Formation enthalpy at 0 K**: -36.0 kJ per mole of atoms
**Energy relative to the lowest polymorph listed for this composition**: 0.000 eV per atom
**Symmetry**: No. 166

Lattice parameters (Å, degrees): 4.189 4.189 5.210 66.30 66.30 60.00
Element x y z (fractional)
Dy (0.500, 0.500, 0.500)
Ti (0.000, 0.000, 0.000)
Ni (0.705, 0.705, 0.884)
Ni (0.295, 0.295, 0.116)


No. 18
A relaxed structure of DyTiZnNi. Source: Alexandria via LeMat-Bulk, functional PBE.

**Formation enthalpy at 0 K**: -14.3 kJ per mole of atoms
**Symmetry**: No. 216

Lattice parameters (Å, degrees): 4.656 4.656 4.656 60.00 60.00 60.00
Element x y z (fractional)
Ni (0.500, 0.500, 0.500)
Zn (0.000, 0.000, 0.000)
Dy (0.750, 0.750, 0.750)
Ti (0.250, 0.250, 0.250)


No. 19
A relaxed structure of Dy5TlNi. Source: Alexandria via LeMat-Bulk, functional PBE.

**Formation enthalpy at 0 K**: -9.9 kJ per mole of atoms
**Symmetry**: No. 2

Lattice parameters (Å, degrees): 6.099 7.021 11.181 72.18 70.43 63.12
Element x y z (fractional)
Dy (0.523, 0.042, 0.634)
Dy (0.140, 0.602, 0.555)
Dy (0.964, 0.992, 0.765)
Dy (0.086, 0.359, 0.869)
Dy (0.036, 0.008, 0.235)
Dy (0.914, 0.641, 0.131)
Dy (0.480, 0.776, 0.951)
Dy (0.520, 0.224, 0.049)
Dy (0.860, 0.398, 0.445)
Dy (0.477, 0.958, 0.366)
Ni (0.000, 0.000, 0.000)
Ni (0.000, 0.000, 0.500)
Tl (0.554, 0.528, 0.726)
Tl (0.446, 0.472, 0.274)


No. 20
A relaxed structure of Dy8Tl2Ni3. Source: Alexandria via LeMat-Bulk, functional PBE.

**Formation enthalpy at 0 K**: -15.1 kJ per mole of atoms
**Symmetry**: No. 12

Lattice parameters (Å, degrees): 7.552 6.993 8.082 115.64 108.00 90.00
Element x y z (fractional)
Dy (0.622, 0.650, 0.795)
Dy (0.970, 0.605, 0.211)
Dy (0.622, 0.145, 0.795)
Dy (0.030, 0.395, 0.789)
Dy (0.844, 0.131, 0.261)
Dy (0.378, 0.855, 0.205)
Dy (0.156, 0.869, 0.739)
Dy (0.378, 0.350, 0.205)
Tl (0.275, 0.264, 0.529)
Tl (0.725, 0.736, 0.471)
Ni (0.000, 0.179, 0.000)
Ni (0.000, 0.821, 0.000)
Ni (0.500, 0.000, 0.000)


No. 21
A relaxed structure of Dy12TlNi6. Source: Alexandria via LeMat-Bulk, functional PBE.

**Formation enthalpy at 0 K**: -34.2 kJ per mole of atoms
**Symmetry**: No. 204

Lattice parameters (Å, degrees): 8.402 8.402 8.402 109.47 109.47 109.47
Element x y z (fractional)
Ni (0.500, 0.877, 0.377)
Ni (0.123, 0.623, 0.500)
Ni (0.877, 0.377, 0.500)
Ni (0.500, 0.123, 0.623)
Ni (0.377, 0.500, 0.877)
Ni (0.623, 0.500, 0.123)
Dy (0.304, 0.491, 0.187)
Dy (0.187, 0.696, 0.884)
Dy (0.509, 0.813, 0.696)
Dy (0.884, 0.187, 0.696)
Dy (0.116, 0.813, 0.304)
Dy (0.491, 0.187, 0.304)
Dy (0.813, 0.696, 0.509)
Dy (0.304, 0.116, 0.813)
Dy (0.696, 0.884, 0.187)
Dy (0.187, 0.304, 0.491)
Dy (0.813, 0.304, 0.116)
Dy (0.696, 0.509, 0.813)
Tl (0.000, 0.000, 0.000)


No. 22
A relaxed structure of Dy8TlNi2. Source: Alexandria via LeMat-Bulk, functional PBE.

**Formation enthalpy at 0 K**: -14.6 kJ per mole of atoms
**Symmetry**: No. 12

Lattice parameters (Å, degrees): 5.347 7.935 7.935 114.54 97.67 97.67
Element x y z (fractional)
Dy (0.925, 0.667, 0.923)
Dy (0.500, 0.248, 0.752)
Dy (0.696, 0.393, 0.393)
Dy (0.075, 0.333, 0.077)
Dy (0.304, 0.607, 0.607)
Dy (0.925, 0.923, 0.667)
Dy (0.075, 0.077, 0.333)
Dy (0.500, 0.752, 0.248)
Ni (0.000, 0.696, 0.304)
Ni (0.000, 0.304, 0.696)
Tl (0.500, 0.000, 0.000)


No. 23
A relaxed structure of Dy3TlNi2. Source: Alexandria via LeMat-Bulk, functional PBE.

**Formation enthalpy at 0 K**: -35.5 kJ per mole of atoms
**Symmetry**: No. 26

Lattice parameters (Å, degrees): 4.283 7.058 9.150 90.00 90.00 90.00
Element x y z (fractional)
Tl (0.000, 0.959, 0.972)
Tl (0.000, 0.459, 0.028)
Dy (0.500, 0.712, 0.256)
Dy (0.000, 0.827, 0.558)
Dy (0.500, 0.682, 0.839)
Dy (0.000, 0.327, 0.442)
Dy (0.500, 0.182, 0.161)
Dy (0.500, 0.212, 0.744)
Ni (0.000, 0.476, 0.715)
Ni (0.500, 0.545, 0.552)
Ni (0.500, 0.045, 0.448)
Ni (0.000, 0.976, 0.285)